VASP calculation (PBE) on a geometry-optimized Au3Se structure.

Cell lengths 5.8392, 10.1839, 5.6574 Å; angles 90.00, 90.00, 90.00 degrees
Closest atoms and distances in Å follow each position.
Element x y z (fractional)
Au: 0.0394 0.2500 0.2425  2 Se 2.50-2.51
Au: 0.1864 0.5029 0.6723  1 Se 2.66, 4 Au 2.88-2.93
Au: 0.1864 0.9971 0.6723  1 Se 2.66, 4 Au 2.88-2.93
Au: 0.3136 0.0029 0.1723  1 Se 2.66, 4 Au 2.88-2.93
Au: 0.3136 0.4971 0.1723  1 Se 2.66, 4 Au 2.88-2.93
Au: 0.4606 0.7500 0.7425  2 Se 2.50-2.51
Au: 0.5394 0.2500 0.2575  2 Se 2.50-2.51
Au: 0.6864 0.5029 0.8277  1 Se 2.66, 4 Au 2.88-2.93
Au: 0.6864 0.9971 0.8277  1 Se 2.66, 4 Au 2.88-2.93
Au: 0.8136 0.0029 0.3277  1 Se 2.66, 4 Au 2.88-2.93
Au: 0.8136 0.4971 0.3277  1 Se 2.66, 4 Au 2.88-2.93
Au: 0.9606 0.7500 0.7575  2 Se 2.50-2.51
Se: 0.2194 0.7500 0.1096  4 Au 2.50-2.66
Se: 0.2806 0.2500 0.6096  4 Au 2.50-2.66
Se: 0.7194 0.7500 0.3904  4 Au 2.50-2.66
Se: 0.7806 0.2500 0.8904  4 Au 2.50-2.66

Computed properties:
Total energy, eV per atom: -3.21



VASP calculation (PBE) on a geometry-optimized Au3Se structure.

Cell lengths 4.2162, 4.2162, 4.2162 Å; angles 90.00, 90.00, 90.00 degrees
Closest atoms and distances in Å follow each position.
Element x y z (fractional)
Au: 0.0000 0.0000 0.5000  4 Se 2.98, 8 Au 2.98
Au: 0.0000 0.5000 0.0000  4 Se 2.98, 8 Au 2.98
Au: 0.5000 0.0000 0.0000  4 Se 2.98, 8 Au 2.98
Se: 0.5000 0.5000 0.5000  12 Au 2.98

Computed properties:
Total energy, eV per atom: -3.13



VASP calculation (PBE) on a geometry-optimized AuSe structure.

Cell lengths 10.9738, 3.9927, 6.3160 Å; angles 90.00, 90.00, 90.00 degrees
Closest atoms and distances in Å follow each position.
Element x y z (fractional)
Au: 0.0000 0.1083 0.0000  3 Se 2.58-2.66, 2 Au 2.87
Au: 0.1757 0.3150 0.3096  4 Se 2.56-2.77
Au: 0.3243 0.6851 0.8096  4 Se 2.56-2.77
Au: 0.5000 0.8917 0.5000  3 Se 2.58-2.66, 2 Au 2.87
Au: 0.6757 0.6851 0.8096  4 Se 2.56-2.77
Au: 0.8243 0.3150 0.3096  4 Se 2.56-2.77
Se: 0.0000 0.7360 0.3494  3 Au 2.57-2.66
Se: 0.1787 0.1730 0.7382  4 Au 2.56-2.77
Se: 0.3213 0.8270 0.2382  4 Au 2.56-2.77
Se: 0.5000 0.2640 0.8494  3 Au 2.57-2.66
Se: 0.6787 0.8270 0.2382  4 Au 2.56-2.77
Se: 0.8213 0.1730 0.7382  4 Au 2.56-2.77

Computed properties:
Total energy, eV per atom: -3.32



VASP calculation (PBE) on a geometry-optimized AuSe structure.

Cell lengths 4.1703, 4.1703, 5.7582 Å; angles 90.00, 90.00, 120.00 degrees
Closest atoms and distances in Å follow each position.
Element x y z (fractional)
Au: 0.0000 0.0000 0.0000  6 Se 2.81, 2 Au 2.88
Au: 0.0000 0.0000 0.5000  6 Se 2.81, 2 Au 2.88
Se: 0.3333 0.6667 0.2500  6 Au 2.81
Se: 0.6667 0.3333 0.7500  6 Au 2.81

Computed properties:
Total energy, eV per atom: -3.23



VASP calculation (PBE) on a geometry-optimized Au2Se structure.

Cell lengths 4.8639, 4.8639, 5.6667 Å; angles 90.00, 90.00, 120.00 degrees
Closest atoms and distances in Å follow each position.
Element x y z (fractional)
Au: 0.0000 0.0000 0.0000  8 Au 2.83-3.15, 6 Se 3.15
Au: 0.0000 0.0000 0.5000  8 Au 2.83-3.15, 6 Se 3.15
Au: 0.3333 0.6667 0.2500  5 Se 2.81-2.83
Au: 0.6667 0.3333 0.7500  5 Se 2.81-2.83
Se: 0.3333 0.6667 0.7500  5 Au 2.81-2.83
Se: 0.6667 0.3333 0.2500  5 Au 2.81-2.83

Computed properties:
Total energy, eV per atom: -3.06



VASP calculation (PBE) on a geometry-optimized AuSe2 structure.

Cell lengths 4.6159, 4.6159, 4.6159 Å; angles 60.00, 60.00, 60.00 degrees
Closest atoms and distances in Å follow each position.
Element x y z (fractional)
Au: 0.0000 0.0000 0.0000  8 Se 2.83
Se: 0.2500 0.2500 0.2500  4 Au 2.83
Se: 0.7500 0.7500 0.7500  4 Au 2.83

Computed properties:
Total energy, eV per atom: -3.02



VASP calculation (PBE) on a geometry-optimized AuSe2 structure.

Cell lengths 5.8630, 5.8630, 5.8630 Å; angles 153.58, 97.76, 88.25 degrees
Closest atoms and distances in Å follow each position.
Element x y z (fractional)
Au: 0.0000 0.0000 0.0000  2 Se 2.50, 2 Au 2.68
Se: 0.3239 0.0000 0.3239  1 Au 2.50, 3 Se 2.68-2.72
Se: 0.6762 0.0000 0.6762  1 Au 2.50, 3 Se 2.68-2.72

Computed properties:
Total energy, eV per atom: -3.21



VASP calculation (PBE) on a geometry-optimized AuSe2 structure.

Cell lengths 8.5052, 8.5052, 8.5052 Å; angles 160.96, 160.96, 27.06 degrees
Closest atoms and distances in Å follow each position.
Element x y z (fractional)
Au: 0.0000 0.0000 0.0000  4 Au 2.81, 8 Se 3.13
Se: 0.3537 0.3537 0.0000  4 Se 2.81, 4 Au 3.13
Se: 0.6463 0.6463 0.0000  4 Se 2.81, 4 Au 3.13

Computed properties:
Total energy, eV per atom: -3.03



VASP calculation (PBE) on a geometry-optimized AuSe structure.

Cell lengths 5.8886, 5.8886, 5.1134 Å; angles 91.56, 91.56, 27.49 degrees
Closest atoms and distances in Å follow each position.
Element x y z (fractional)
Au: 0.1303 0.1303 0.0015  5 Au 2.80-3.08, 4 Se 2.91-2.92
Au: 0.8697 0.8697 0.9985  5 Au 2.80-3.08, 4 Se 2.91-2.92
Se: 0.3807 0.3807 0.4998  3 Se 2.73-2.80, 4 Au 2.91-2.92
Se: 0.6193 0.6193 0.5002  3 Se 2.73-2.80, 4 Au 2.91-2.92

Computed properties:
Total energy, eV per atom: -3.11



VASP calculation (PBE) on a geometry-optimized AuSe2 structure.

Cell lengths 5.2257, 5.2257, 2.6900 Å; angles 90.00, 90.00, 90.00 degrees
Closest atoms and distances in Å follow each position.
Element x y z (fractional)
Au: 0.0000 0.0000 0.0000  2 Au 2.69, 8 Se 2.94
Se: 0.0000 0.5000 0.5000  2 Se 2.69, 4 Au 2.94
Se: 0.5000 0.0000 0.5000  2 Se 2.69, 4 Au 2.94

Computed properties:
Total energy, eV per atom: -3.03



VASP calculation (PBE) on a geometry-optimized Au2Se structure.

Cell lengths 3.8567, 3.8567, 4.8293 Å; angles 90.00, 90.00, 120.00 degrees
Closest atoms and distances in Å follow each position.
Element x y z (fractional)
Au: 0.3333 0.6667 0.3287  3 Se 2.73, 3 Au 2.77
Au: 0.6667 0.3333 0.6713  3 Se 2.73, 3 Au 2.77
Se: 0.0000 0.0000 0.0000  6 Au 2.73

Computed properties:
Total energy, eV per atom: -3.20



VASP calculation (PBE) on a geometry-optimized AuSe structure.

Cell lengths 7.4814, 7.4814, 3.9558 Å; angles 90.00, 90.00, 90.00 degrees
Closest atoms and distances in Å follow each position.
Element x y z (fractional)
Au: 0.1872 0.1872 0.0000  4 Se 2.54-2.62
Au: 0.3128 0.6872 0.5000  4 Se 2.54-2.62
Au: 0.6872 0.3128 0.5000  4 Se 2.54-2.62
Au: 0.8128 0.8128 0.0000  4 Se 2.54-2.62
Se: 0.1621 0.8379 0.0000  4 Au 2.54-2.62
Se: 0.3379 0.3379 0.5000  4 Au 2.54-2.62
Se: 0.6621 0.6621 0.5000  4 Au 2.54-2.62
Se: 0.8379 0.1621 0.0000  4 Au 2.54-2.62

Computed properties:
Total energy, eV per atom: -3.26



total energy of number 5 (Au2Se)?
-3.06 eV per atom



The lowest total energy belongs to which entry?
number 3



Look up the total energy of the eleventh one.
-3.20 eV per atom